Density functional theory data (PBE) for a relaxed Tm2AsPb crystal.

```
data_Tm2AsPb
_chemical_formula_sum 'Tm2 As1 Pb1'
_symmetry_space_group_name_H-M 'P -3 m 1'
_symmetry_Int_Tables_number 164
_symmetry_space_group_name_Hall '-P 3 2"'
_cell_length_a 3.8700
_cell_length_b 3.8700
_cell_length_c 8.2672
_cell_angle_alpha 90.00
_cell_angle_beta 90.00
_cell_angle_gamma 120.00
loop_
_atom_site_label
_atom_site_fract_x
_atom_site_fract_y
_atom_site_fract_z
Tm1 0.3333 0.6667 0.2976
As1 0.0000 0.0000 0.5000
Pb1 0.0000 0.0000 0.0000
```

Results
- formation enthalpy at 0 K (eV per atom) = -0.84
- polymorph energy (0 for the lowest one) (eV/atom) = 0.105
- uncorrected energy (eV/f.u.) = -20.7